[1]
Entry from Alexandria: RbCdIn8Ag2 after structural relaxation (PBE).

Geometry as POSCAR:
```
RbCdIn8Ag2
1.0
5.058 -3.447 0.000
5.058 3.447 0.000
-3.767 0.000 9.405
Rb Cd In Ag
1 1 8 2
Cartesian
0.000 0.000 0.000
3.175 0.000 4.703
2.557 1.827 2.482
-0.051 0.000 4.002
3.518 0.000 0.100
3.792 1.827 6.923
2.557 -1.827 2.482
2.831 0.000 9.305
6.400 0.000 5.403
3.792 -1.827 6.923
1.187 0.000 6.783
5.163 0.000 2.622
```

Calculated values
DOS at the Fermi energy: 0.355 states/eV per atom
total DFT energy (no corrections): -2.445 eV/atom
magnetic moment: 0.0 μB per formula unit
E_form: 13 meV per atom

***

[2]
Entry from Alexandria: VTe2PdI after structural relaxation (PBE).

Geometry as POSCAR:
```
VTe2PdI
1.0
5.309 0.000 0.000
0.000 5.309 0.000
0.000 0.000 5.350
V Te Pd I
1 2 1 1
Cartesian
0.000 0.000 0.000
0.000 2.654 2.675
2.654 0.000 2.675
2.654 2.654 2.675
2.654 2.654 0.000
```

Calculated values
DOS at the Fermi energy: 1.633 states/eV per atom
total DFT energy (no corrections): -3.583 eV/atom
E_form (uncorrected): 0.85 eV/atom
distance to the lowest polymorph of the same formula: 0.361 eV/atom
magnetic moment: 0.1 μB per formula unit

***

[3]
Entry from Alexandria: Al2Tc2H after structural relaxation (PBE).

Geometry as POSCAR:
```
Al2Tc2H
1.0
5.532 0.000 0.000
0.000 5.532 0.000
0.000 0.000 4.255
Al Tc H
4 4 2
Cartesian
0.894 1.872 0.000
1.872 4.638 0.000
3.659 0.894 0.000
4.638 3.659 0.000
0.917 3.683 2.127
1.848 0.917 2.127
3.683 4.614 2.127
4.614 1.848 2.127
0.000 0.000 2.127
2.766 2.766 2.127
```

Calculated values
DOS at the Fermi energy: 0.969 states/eV per atom
total DFT energy (no corrections): -6.338 eV/atom
magnetic moment: 0.0 μB per formula unit

***

[4]
Entry from Alexandria: Rb2ClO2 after structural relaxation (PBE).

Geometry as POSCAR:
```
Rb2ClO2
1.0
-1.972 1.972 8.259
1.972 -1.972 8.259
1.972 1.972 -8.259
Rb Cl O
2 1 2
Cartesian
0.000 0.000 1.946
0.000 0.000 14.573
0.000 0.000 8.259
1.972 0.000 4.130
0.000 1.972 4.130
```

Calculated values
DOS at the Fermi energy: 0.798 states/eV per atom
total DFT energy (no corrections): -3.301 eV/atom
E_form (uncorrected): -0.56 eV/atom
distance to the lowest polymorph of the same formula: 0.667 eV/atom
magnetic moment: 3.0 μB per formula unit

***

[5]
Entry from Alexandria: ZnSiF2 after structural relaxation (PBE).

Geometry as POSCAR:
```
ZnSiF2
1.0
-2.831 2.831 4.445
2.831 -2.831 4.445
2.831 2.831 -4.445
Zn Si F
2 2 4
Cartesian
0.000 0.000 0.000
0.000 2.831 2.223
2.831 0.000 2.223
0.000 0.000 4.445
4.247 0.711 -1.111
0.711 1.416 1.111
-1.416 2.121 3.334
2.121 1.416 5.557
```

Calculated values
DOS at the Fermi energy: 0.081 states/eV per atom
total DFT energy (no corrections): -3.453 eV/atom
E_form (uncorrected): -0.84 eV/atom
distance to the lowest polymorph of the same formula: 0.647 eV/atom
magnetic moment: 0.0 μB per formula unit

***

[6]
Entry from Alexandria: NpTaSe4 after structural relaxation (PBE).

Geometry as POSCAR:
```
NpTaSe4
1.0
4.247 -5.205 0.000
4.247 5.205 0.000
-0.277 0.000 6.535
Np Ta Se
2 2 8
Cartesian
4.039 5.169 4.901
4.177 -5.169 1.634
4.039 1.100 4.901
4.177 -1.100 1.634
3.504 2.903 3.254
2.565 0.540 0.337
4.851 2.903 0.013
2.426 -0.540 3.604
5.790 0.540 2.931
3.365 -2.903 6.522
5.652 -0.540 6.199
4.712 -2.903 3.281
```

Calculated values
DOS at the Fermi energy: 1.291 states/eV per atom
total DFT energy (no corrections): -7.111 eV/atom
E_form (uncorrected): -0.66 eV/atom
distance to the lowest polymorph of the same formula: 0.102 eV/atom
magnetic moment: 3.8 μB per formula unit